Entry from Alexandria: a geometry-optimized Pr2YCdO structure (PBE).

The structure in POSCAR format:
```
Pr2YCdO
1.0
-0.784 -1.418 4.484
4.603 -2.105 0.139
1.938 4.352 1.715
Pr O Cd Y
2 1 1 1
Direct
0.000 0.000 0.500 Pr
0.000 0.500 0.000 Pr
0.000 0.000 0.000 O
0.500 0.500 0.500 Cd
0.500 0.000 0.000 Y
```

* symmetry: P4/mmm (123)


Entry from Alexandria: a geometry-optimized Pr2ZnCdO5 structure (PBE).

The structure in POSCAR format:
```
Pr2ZnCdO5
1.0
5.846 0.000 0.000
0.000 6.761 0.000
0.000 0.000 6.761
Zn O Pr Cd
2 10 4 2
Direct
0.000 0.500 0.000 Zn
0.000 0.000 0.500 Zn
0.759 0.145 0.645 O
0.241 0.855 0.355 O
0.241 0.355 0.145 O
0.500 0.500 0.500 O
0.241 0.145 0.645 O
0.500 0.000 0.000 O
0.241 0.645 0.855 O
0.759 0.645 0.855 O
0.759 0.855 0.355 O
0.759 0.355 0.145 O
0.500 0.829 0.671 Pr
0.500 0.329 0.829 Pr
0.500 0.171 0.329 Pr
0.500 0.671 0.171 Pr
0.000 0.500 0.500 Cd
0.000 0.000 0.000 Cd
```

* symmetry: P4/mbm (127)


Entry from Alexandria: a geometry-optimized CdPt2O6 structure (PBE).

The structure in POSCAR format:
```
CdPt2O6
1.0
-1.749 -3.974 1.934
-0.224 -2.240 -4.806
4.381 -0.491 2.954
O Pt Cd
6 2 1
Direct
0.726 0.365 0.000 O
0.274 0.365 0.365 O
0.726 0.635 0.635 O
0.726 0.000 0.365 O
0.274 0.635 0.000 O
0.274 0.000 0.635 O
0.500 0.667 0.333 Pt
0.500 0.333 0.667 Pt
0.000 0.000 0.000 Cd
```

* symmetry: P-31m (162)


no.,spin magnetization (μB/f.u.),E_tot (eV/cell)
1,0.0,-28.28
2,0.0,-110.35
3,1.8,-47.39